Compound: HfCoNi
Source: Alexandria
Functional: GGA-PBE
Structure: optimized geometry

Results
Volume = 13.63 A^3/atom
Electronic total energy = -48.18 eV for the cell shown
Energy of formation from the pure elements = -0.416 eV per atom
Density of states at the Fermi level = 4.0 states/eV/f.u.

Cell: 4.876 4.876 4.876 Å, 120.66 119.62 89.75°
Atoms (fractional coordinates):
Hf  0.375  0.125  0.250
Hf  0.625  0.875  0.750
Co  0.000  0.500  0.500
Co  0.500  0.500  0.000
Ni  0.000  0.000  0.500
Ni  0.000  0.500  0.000